# 1
This record from the Alexandria database describes a relaxed structure of Cd6AgHg2. The functional is PBE.

Output
**Fermi-level density of states**: 0.304 states/eV per atom
**Final energy**: -0.9681 eV per atom
**Size of the total moment**: 0.00 μB/atom
**Volume**: 23.6 Å³ per atom
**Formation energy**: 26 meV per atom
**Crystal system**: monoclinic

Lattice parameters (Å, degrees): 12.7348 5.1031 7.9317 90.00 124.37 90.00
Closest atoms and distances in Å follow each position.
Space group C2/m (No. 12)
Asymmetric unit:
Cd  0.0766  0.0000  0.2229  4 Cd 2.92-3.02, 2 Ag 2.94
Cd  0.0947  0.5000  0.4363  1 Ag 2.95, 2 Hg 2.99-3.03, 6 Cd 3.00-3.12
Cd  0.2089  0.0000  0.6805  3 Hg 2.98-3.07, 4 Cd 3.02-3.12, 1 Ag 3.09
Ag  0.0000  0.5000  0.0000  8 Cd 2.94-3.09, 2 Hg 3.08
Hg  0.1902  0.5000  0.8773  5 Cd 2.98-3.07, 2 Hg 3.05, 1 Ag 3.08

---

# 2
This record from the Alexandria database describes a relaxed structure of Cd4Ag2Hg3. The functional is PBE.

Output
**Fermi-level density of states**: 0.177 states/eV per atom
**Final energy**: -1.0987 eV per atom
**Size of the total moment**: 0.00 μB/atom
**Volume**: 22.3 Å³ per atom
**Formation energy**: 42 meV per atom
**Crystal system**: monoclinic

Lattice parameters (Å, degrees): 12.6021 11.9712 5.3148 90.00 90.40 90.00
Closest atoms and distances in Å follow each position.
Space group C2/c (No. 15)
Asymmetric unit:
Cd  0.1011  0.2099  0.0759  2 Ag 2.98-3.01, 3 Cd 2.99-3.23, 4 Hg 3.03-3.18
Cd  0.1593  0.3302  0.6040  3 Ag 2.90-3.11, 3 Cd 2.99-3.23, 2 Hg 3.04-3.12
Ag  0.2159  0.4307  0.0826  3 Hg 2.87-3.00, 5 Cd 2.90-3.11, 2 Ag 3.13
Hg  0.0000  0.4406  0.2500  2 Ag 2.87, 2 Hg 3.01, 4 Cd 3.04-3.18
Hg  0.1018  0.0774  0.5616  2 Ag 2.97-3.00, 4 Cd 3.03-3.16, 4 Hg 3.23-3.27

---

# 3
This record from the Alexandria database describes a relaxed structure of Cd5Ag2Hg5. The functional is PBE.

Output
**Fermi-level density of states**: 0.251 states/eV per atom
**Final energy**: -0.9523 eV per atom
**Size of the total moment**: 0.00 μB/atom
**Volume**: 22.8 Å³ per atom
**Formation energy**: 30 meV per atom
**Crystal system**: monoclinic

Lattice parameters (Å, degrees): 13.3994 5.4444 8.0407 90.00 111.33 90.00
Closest atoms and distances in Å follow each position.
Space group C2/m (No. 12)
Asymmetric unit:
Cd  0.0000  0.0000  0.0000  2 Ag 2.94, 4 Cd 3.06-3.07, 4 Hg 3.12
Cd  0.0781  0.0000  0.4074  3 Cd 2.98-3.07, 2 Ag 2.98-3.08, 5 Hg 3.07-3.17
Cd  0.2413  0.0000  0.2202  4 Hg 2.91-3.19, 3 Ag 3.02-3.12, 2 Cd 3.07
Ag  0.1546  0.0000  0.8176  6 Cd 2.94-3.12, 4 Hg 2.97-3.26
Hg  0.0000  0.5000  0.5000  4 Hg 3.08-3.23, 6 Cd 3.10-3.38
Hg  0.0916  0.5000  0.9314  3 Cd 2.91-3.12, 3 Hg 3.03-3.23, 3 Ag 3.09-3.26
Hg  0.1835  0.5000  0.3545  1 Ag 2.97, 6 Cd 3.07-3.19, 2 Hg 3.08-3.17

---

# 4
This record from the Alexandria database describes a relaxed structure of Cd2Ag4Hg3. The functional is PBE.

Output
**Fermi-level density of states**: 0.184 states/eV per atom
**Final energy**: -1.5126 eV per atom
**Size of the total moment**: 0.00 μB/atom
**Volume**: 20.7 Å³ per atom
**Formation energy**: 59 meV per atom
**Crystal system**: monoclinic

Lattice parameters (Å, degrees): 13.9970 10.7309 5.0247 90.00 98.92 90.00
Closest atoms and distances in Å follow each position.
Space group C2/c (No. 15)
Asymmetric unit:
Cd  0.1168  0.1219  0.3012  4 Ag 2.88-3.15, 5 Hg 2.99-3.23
Ag  0.0552  0.3808  0.0332  4 Ag 2.86-3.03, 5 Hg 2.89-3.01, 1 Cd 3.15
Ag  0.2257  0.1287  0.8593  3 Cd 2.88-3.08, 5 Hg 2.92-3.12, 2 Ag 2.99-3.03
Hg  0.0000  0.1382  0.7500  6 Cd 2.99-3.23, 4 Ag 3.01-3.12
Hg  0.1626  0.3785  0.5865  8 Ag 2.89-3.10, 2 Cd 3.05-3.12

---

# 5
This record from the Alexandria database describes a relaxed structure of Cd3Ag4Hg. The functional is PBE.

Output
**Fermi-level density of states**: 0.329 states/eV per atom
**Final energy**: -1.8245 eV per atom
**Size of the total moment**: 0.00 μB/atom
**Volume**: 19.6 Å³ per atom
**Formation energy**: -18 meV per atom
**Crystal system**: tetragonal

Lattice parameters (Å, degrees): 3.4024 3.4024 13.5403 90.00 90.00 90.00
Closest atoms and distances in Å follow each position.
Space group P4/mmm (No. 123)
Asymmetric unit:
Cd  0.0000  0.0000  0.0000  8 Ag 2.93
Cd  0.0000  0.0000  0.2476  8 Ag 2.93
Ag  0.5000  0.5000  0.1240  8 Cd 2.93
Ag  0.5000  0.5000  0.3706  4 Cd 2.93, 4 Hg 2.98
Hg  0.0000  0.0000  0.5000  8 Ag 2.98

---

# 6
This record from the Alexandria database describes a relaxed structure of Cd4Ag4Hg3. The functional is PBE.

Output
**Fermi-level density of states**: 0.217 states/eV per atom
**Final energy**: -1.4360 eV per atom
**Size of the total moment**: 0.00 μB/atom
**Volume**: 21.1 Å³ per atom
**Formation energy**: 16 meV per atom
**Crystal system**: triclinic

Lattice parameters (Å, degrees): 3.0814 3.0814 24.4349 89.51 89.50 89.49
Closest atoms and distances in Å follow each position.
Space group P-1 (No. 2)
Asymmetric unit:
Cd  0.1995  0.1979  0.3936  1 Hg 2.93, 4 Ag 2.95-3.03, 4 Cd 3.08
Cd  0.2602  0.2601  0.8761  4 Ag 2.98-3.00, 4 Cd 3.08, 4 Hg 3.23-3.24
Ag  0.2464  0.2465  0.0401  8 Ag 2.92-3.08, 4 Cd 2.98-3.00
Ag  0.2820  0.2838  0.6895  4 Cd 2.95-3.03, 4 Hg 3.05-3.11, 4 Ag 3.08
Hg  0.2336  0.2316  0.2218  4 Ag 3.05-3.11, 4 Hg 3.08, 4 Cd 3.23-3.24
Hg  0.5000  0.5000  0.5000  2 Cd 2.93, 4 Hg 3.08